[1]
# In2GaHg5

A geometry-optimized In2GaHg5 structure (PBE, Alexandria via LeMat-Bulk).

The distance to the lowest polymorph of the same formula comes out at 7 meV per atom. For the energy, the calculation gives -1.22 eV per atom.

The structure belongs to space group Cm (No. 8); the cell edges are 8.513, 9.359 and 6.345 Å and the angles 90.00°, 125.54° and 90.00°. Symmetry generates all atoms from In at (0.000, 0.250, 0.000), Ga at (0.251, 0.000, 0.501), Hg at (0.000, 0.249, 0.500), Hg at (0.249, 0.500, 0.500), Hg at (0.250, 0.000, 0.001) and Hg at (0.250, 0.500, 0.000).

=====

[2]
# In4GaHg10

A geometry-optimized In4GaHg10 structure (PBE, Alexandria via LeMat-Bulk).

For the energy, the calculation gives -1.10 eV per atom.

The structure belongs to space group R-3m (No. 166, hexagonal axes); the cell edges are 4.9115, 4.9115 and 61.9468 Å and the angles 90.00°, 90.00° and 120.00°. Symmetry generates all atoms from In at (0.0000, 0.0000, 0.1025), In at (0.0000, 0.0000, 0.2993), Ga at (0.0000, 0.0000, 0.5000), Hg at (0.0000, 0.0000, 0.0525), Hg at (0.0000, 0.0000, 0.1526), Hg at (0.0000, 0.0000, 0.2496), Hg at (0.0000, 0.0000, 0.3490) and Hg at (0.0000, 0.0000, 0.4539).

=====

Number 1: DOS(E_F) 2.96 states/eV per cell. Number 2: DOS(E_F) 12.76 states/eV per cell.